{
  "formula": "Na6SnHg6",
  "functional": "GGA-PBE",
  "state": "relaxed",
  "cell": [[6.403, -0.148, 0.000], [-3.329, 5.472, 0.000], [0.000, 0.000, 10.584]],
  "species": ["Hg", "Hg", "Hg", "Hg", "Hg", "Hg", "Na", "Na", "Na", "Na", "Na", "Na", "Sn"],
  "fractional_positions": [[0.500, 0.500, 0.249], [0.500, 0.000, 0.248], [0.000, 0.500, 0.752], [0.500, 0.000, 0.752], [0.500, 0.500, 0.751], [0.000, 0.500, 0.248], [0.337, 0.663, 0.500], [0.663, 0.337, 0.500], [0.337, 0.663, 0.000], [0.663, 0.337, 0.000], [0.000, 0.000, 0.688], [0.000, 0.000, 0.312], [0.000, 0.000, 0.000]],
  "n_ef_per_ev_fu": 7.01,
  "m_tot_mub_per_cell": 0.00,
  "e_form_ev_per_atom": -0.151,
  "volume_a3_per_atom": 28.12,
  "dft_energy_ev_per_atom": -1.21,
  "spacegroup": "Cmmm"
}